Below is Ac3GeBr3 after structural relaxation, with properties calculated at the PBE level.

## Properties
Excess energy over the best structure of this formula in the dataset (meV per atom): 66
Electronic total energy (eV/atom): -4.5223
DOS at the Fermi energy (states/eV/cell): 3.046
ΔE_f (raw) (meV/atom): -1385

```
data_Ac3GeBr3
_space_group_name_H-M_alt 'P m -3 m'
_space_group_IT_number 221
_space_group_name_Hall '-P 4 2 3'
_cell_length_a 6.360
_cell_length_b 6.360
_cell_length_c 6.360
_cell_angle_alpha 90.00
_cell_angle_beta 90.00
_cell_angle_gamma 90.00
loop_
_atom_site_label
_atom_site_type_symbol
_atom_site_fract_x
_atom_site_fract_y
_atom_site_fract_z
_atom_site_occupancy
Ac1 Ac 0.000 0.000 0.500 1
Ge1 Ge 0.000 0.000 0.000 1
Br1 Br 0.000 0.500 0.500 1
```